TaBe2Rh2: optimized geometry, PBE.

Summary:
The magnetization is 0.00 μB/atom. The density comes out at 10836 kg/m³. The formation energy is -50.4 kJ/mol of atoms.

Cell: 6.6794 6.6794 2.7806 Å, 90.00 90.00 90.00°
Element x y z (fractional)
Ta 0.0000 0.0000 0.0000
Ta 0.5000 0.5000 0.0000
Be 0.1162 0.3838 0.0000
Be 0.3838 0.8838 0.0000
Be 0.6162 0.1162 0.0000
Be 0.8838 0.6162 0.0000
Rh 0.1757 0.6757 0.5000
Rh 0.3243 0.1757 0.5000
Rh 0.6757 0.8243 0.5000
Rh 0.8243 0.3243 0.5000